# TmAg2Pd5, optimized geometry, DFT GGA-PBE
# density = 10.8 Mg/m³
# ΔE to the lowest computed polymorph = 166.4 meV per atom
data_TmAg2Pd5
_space_group_name_H-M_alt 'I 4/m c m'
_space_group_IT_number 140
_space_group_name_Hall '-I 4 2c'
_cell_length_a 7.117
_cell_length_b 7.117
_cell_length_c 11.095
_cell_angle_alpha 90.00
_cell_angle_beta 90.00
_cell_angle_gamma 90.00
loop_
_atom_site_label
_atom_site_type_symbol
_atom_site_fract_x
_atom_site_fract_y
_atom_site_fract_z
Tm1 Tm 0.000 0.000 0.250
Ag1 Ag 0.148 0.352 0.000
Pd1 Pd 0.000 0.000 0.000
Pd2 Pd 0.146 0.354 0.334

---

# TmAg2Pd8, optimized geometry, DFT GGA-PBE
# density = 10.6 Mg/m³
# ΔE to the lowest computed polymorph = 211.1 meV per atom
data_TmAg2Pd8
_space_group_name_H-M_alt 'C m m m'
_space_group_IT_number 65
_space_group_name_Hall '-C 2 2'
_cell_length_a 8.205
_cell_length_b 10.818
_cell_length_c 4.356
_cell_angle_alpha 90.00
_cell_angle_beta 90.00
_cell_angle_gamma 90.00
loop_
_atom_site_label
_atom_site_type_symbol
_atom_site_fract_x
_atom_site_fract_y
_atom_site_fract_z
Tm1 Tm 0.000 0.000 0.000
Ag1 Ag 0.000 0.378 0.500
Pd1 Pd 0.000 0.246 0.000
Pd2 Pd 0.168 0.500 0.000
Pd3 Pd 0.170 0.134 0.500

---

# Tm7AgPd4, optimized geometry, DFT GGA-PBE
# density = 9.9 Mg/m³
data_Tm7AgPd4
_space_group_name_H-M_alt 'C 1 2/m 1'
_space_group_IT_number 12
_cell_length_a 14.003
_cell_length_b 5.373
_cell_length_c 9.500
_cell_angle_alpha 90.00
_cell_angle_beta 126.05
_cell_angle_gamma 90.00
loop_
_space_group_symop_operation_xyz
'x,y,z'
'-x,-y,-z'
'-x,y,-z'
'x,-y,z'
'x+1/2,y+1/2,z'
'-x+1/2,-y+1/2,-z'
'-x+1/2,y+1/2,-z'
'x+1/2,-y+1/2,z'
loop_
_atom_site_label
_atom_site_type_symbol
_atom_site_fract_x
_atom_site_fract_y
_atom_site_fract_z
Tm1 Tm 0.000 0.000 0.000
Tm2 Tm 0.065 0.500 0.370
Tm3 Tm 0.208 0.000 0.656
Tm4 Tm 0.218 0.500 0.882
Ag1 Ag 0.000 0.500 0.000
Pd1 Pd 0.066 0.000 0.768
Pd2 Pd 0.200 0.000 0.349

---

# Tm6Ag2Pd, optimized geometry, DFT GGA-PBE
# density = 9.7 Mg/m³
data_Tm6Ag2Pd
_space_group_name_H-M_alt 'I m m m'
_space_group_IT_number 71
_space_group_name_Hall '-I 2 2'
_cell_length_a 9.499
_cell_length_b 9.647
_cell_length_c 9.952
_cell_angle_alpha 90.00
_cell_angle_beta 90.00
_cell_angle_gamma 90.00
loop_
_atom_site_label
_atom_site_type_symbol
_atom_site_fract_x
_atom_site_fract_y
_atom_site_fract_z
Tm1 Tm 0.000 0.172 0.223
Tm2 Tm 0.175 0.500 0.240
Tm3 Tm 0.188 0.243 0.500
Ag1 Ag 0.000 0.362 0.000
Ag2 Ag 0.148 0.000 0.000
Pd1 Pd 0.000 0.000 0.500
Pd2 Pd 0.000 0.500 0.500

---

# Tm6Ag5Pd, optimized geometry, DFT GGA-PBE
# density = 10.1 Mg/m³
data_Tm6Ag5Pd
_space_group_name_H-M_alt 'C m m m'
_space_group_IT_number 65
_space_group_name_Hall '-C 2 2'
_cell_length_a 5.039
_cell_length_b 15.177
_cell_length_c 7.114
_cell_angle_alpha 90.00
_cell_angle_beta 90.00
_cell_angle_gamma 90.00
loop_
_atom_site_label
_atom_site_type_symbol
_atom_site_fract_x
_atom_site_fract_y
_atom_site_fract_z
Tm1 Tm 0.000 0.000 0.243
Tm2 Tm 0.000 0.337 0.247
Ag1 Ag 0.000 0.168 0.500
Ag2 Ag 0.000 0.171 0.000
Ag3 Ag 0.000 0.500 0.500
Pd1 Pd 0.000 0.500 0.000

---

# Tm2AgPd8, optimized geometry, DFT GGA-PBE
# density = 11.4 Mg/m³
data_Tm2AgPd8
_space_group_name_H-M_alt 'C 1 2/m 1'
_space_group_IT_number 12
_cell_length_a 14.533
_cell_length_b 4.197
_cell_length_c 6.510
_cell_angle_alpha 90.00
_cell_angle_beta 107.46
_cell_angle_gamma 90.00
loop_
_space_group_symop_operation_xyz
'x,y,z'
'-x,-y,-z'
'-x,y,-z'
'x,-y,z'
'x+1/2,y+1/2,z'
'-x+1/2,-y+1/2,-z'
'-x+1/2,y+1/2,-z'
'x+1/2,-y+1/2,z'
loop_
_atom_site_label
_atom_site_type_symbol
_atom_site_fract_x
_atom_site_fract_y
_atom_site_fract_z
Tm1 Tm 0.217 0.000 0.166
Ag1 Ag 0.000 0.500 0.500
Pd1 Pd 0.037 0.000 0.223
Pd2 Pd 0.093 0.500 0.948
Pd3 Pd 0.143 0.000 0.686
Pd4 Pd 0.172 0.500 0.403

---

# Tm4AgPd12, optimized geometry, DFT GGA-PBE
# density = 11.2 Mg/m³
data_Tm4AgPd12
_space_group_name_H-M_alt 'I m -3 m'
_space_group_IT_number 229
_space_group_name_Hall '-I 4 2 3'
_cell_length_a 8.493
_cell_length_b 8.493
_cell_length_c 8.493
_cell_angle_alpha 90.00
_cell_angle_beta 90.00
_cell_angle_gamma 90.00
loop_
_atom_site_label
_atom_site_type_symbol
_atom_site_fract_x
_atom_site_fract_y
_atom_site_fract_z
Tm1 Tm 0.250 0.250 0.250
Ag1 Ag 0.000 0.000 0.000
Pd1 Pd 0.000 0.000 0.301
Pd2 Pd 0.000 0.250 0.500

---

# TmAg2Pd, optimized geometry, DFT GGA-PBE
# density = 10.7 Mg/m³
# ΔE to the lowest computed polymorph = 0.0 meV per atom
data_TmAg2Pd
_space_group_name_H-M_alt 'P m m n'
_space_group_IT_number 59
_cell_length_a 4.966
_cell_length_b 5.645
_cell_length_c 5.412
_cell_angle_alpha 90.00
_cell_angle_beta 90.00
_cell_angle_gamma 90.00
loop_
_space_group_symop_operation_xyz
'x,y,z'
'-x,-y,-z'
'-x+1/2,-y+1/2,z'
'x+1/2,y+1/2,-z'
'x+1/2,-y,-z'
'-x+1/2,y,z'
'-x,y+1/2,-z'
'x,-y+1/2,z'
loop_
_atom_site_label
_atom_site_type_symbol
_atom_site_fract_x
_atom_site_fract_y
_atom_site_fract_z
Tm1 Tm 0.250 0.250 0.129
Ag1 Ag 0.250 0.503 0.643
Pd1 Pd 0.250 0.750 0.161

---

# TmAg2Pd5, optimized geometry, DFT GGA-PBE
# density = 11.3 Mg/m³
# ΔE to the lowest computed polymorph = 0.0 meV per atom
data_TmAg2Pd5
_space_group_name_H-M_alt 'I 4/m m m'
_space_group_IT_number 139
_space_group_name_Hall '-I 4 2'
_cell_length_a 4.101
_cell_length_b 4.101
_cell_length_c 16.080
_cell_angle_alpha 90.00
_cell_angle_beta 90.00
_cell_angle_gamma 90.00
loop_
_atom_site_label
_atom_site_type_symbol
_atom_site_fract_x
_atom_site_fract_y
_atom_site_fract_z
Tm1 Tm 0.000 0.000 0.000
Ag1 Ag 0.000 0.000 0.251
Pd1 Pd 0.000 0.000 0.500
Pd2 Pd 0.000 0.500 0.125

---

# TmAg2Pd, optimized geometry, DFT GGA-PBE
# density = 10.6 Mg/m³
# ΔE to the lowest computed polymorph = 107.6 meV per atom
data_TmAg2Pd
_space_group_name_H-M_alt 'P 4/m m m'
_space_group_IT_number 123
_space_group_name_Hall '-P 4 2'
_cell_length_a 4.043
_cell_length_b 4.043
_cell_length_c 4.726
_cell_angle_alpha 90.00
_cell_angle_beta 90.00
_cell_angle_gamma 90.00
loop_
_atom_site_label
_atom_site_type_symbol
_atom_site_fract_x
_atom_site_fract_y
_atom_site_fract_z
Tm1 Tm 0.000 0.000 0.000
Ag1 Ag 0.000 0.500 0.500
Pd1 Pd 0.500 0.500 0.000

---

# Tm3AgPd6, optimized geometry, DFT GGA-PBE
# density = 10.8 Mg/m³
data_Tm3AgPd6
_space_group_name_H-M_alt 'C m c 21'
_space_group_IT_number 36
_cell_length_a 10.645
_cell_length_b 14.301
_cell_length_c 5.078
_cell_angle_alpha 90.00
_cell_angle_beta 90.00
_cell_angle_gamma 90.00
loop_
_space_group_symop_operation_xyz
'x,y,z'
'-x,-y,z+1/2'
'-x,y,z'
'x,-y,z+1/2'
'x+1/2,y+1/2,z'
'-x+1/2,-y+1/2,z+1/2'
'-x+1/2,y+1/2,z'
'x+1/2,-y+1/2,z+1/2'
loop_
_atom_site_label
_atom_site_type_symbol
_atom_site_fract_x
_atom_site_fract_y
_atom_site_fract_z
Tm1 Tm 0.000 0.124 0.000
Tm2 Tm 0.186 0.397 0.357
Ag1 Ag 0.000 0.328 0.970
Pd1 Pd 0.000 0.235 0.490
Pd2 Pd 0.000 0.479 0.666
Pd3 Pd 0.133 0.049 0.479
Pd4 Pd 0.248 0.291 0.803

---

# TmAgPd, optimized geometry, DFT GGA-PBE
# density = 10.7 Mg/m³
# ΔE to the lowest computed polymorph = 0.0 meV per atom
data_TmAgPd
_space_group_name_H-M_alt 'C m c m'
_space_group_IT_number 63
_space_group_name_Hall '-C 2c 2'
_cell_length_a 3.674
_cell_length_b 14.329
_cell_length_c 4.498
_cell_angle_alpha 90.00
_cell_angle_beta 90.00
_cell_angle_gamma 90.00
loop_
_atom_site_label
_atom_site_type_symbol
_atom_site_fract_x
_atom_site_fract_y
_atom_site_fract_z
Tm1 Tm 0.000 0.091 0.250
Ag1 Ag 0.000 0.237 0.750
Pd1 Pd 0.000 0.428 0.250

---

# Tm2AgPd, optimized geometry, DFT GGA-PBE
# density = 10.4 Mg/m³
# ΔE to the lowest computed polymorph = 0.0 meV per atom
data_Tm2AgPd
_space_group_name_H-M_alt 'P 4/m m m'
_space_group_IT_number 123
_space_group_name_Hall '-P 4 2'
_cell_length_a 3.513
_cell_length_b 3.513
_cell_length_c 7.113
_cell_angle_alpha 90.00
_cell_angle_beta 90.00
_cell_angle_gamma 90.00
loop_
_atom_site_label
_atom_site_type_symbol
_atom_site_fract_x
_atom_site_fract_y
_atom_site_fract_z
Tm1 Tm 0.000 0.000 0.240
Ag1 Ag 0.500 0.500 0.500
Pd1 Pd 0.500 0.500 0.000

---

# TmAgPd6, optimized geometry, DFT GGA-PBE
# density = 11.4 Mg/m³
# ΔE to the lowest computed polymorph = 0.0 meV per atom
data_TmAgPd6
_space_group_name_H-M_alt 'P 4/m m m'
_space_group_IT_number 123
_space_group_name_Hall '-P 4 2'
_cell_length_a 4.041
_cell_length_b 4.041
_cell_length_c 8.145
_cell_angle_alpha 90.00
_cell_angle_beta 90.00
_cell_angle_gamma 90.00
loop_
_atom_site_label
_atom_site_type_symbol
_atom_site_fract_x
_atom_site_fract_y
_atom_site_fract_z
Tm1 Tm 0.000 0.000 0.000
Ag1 Ag 0.000 0.000 0.500
Pd1 Pd 0.000 0.500 0.253
Pd2 Pd 0.500 0.500 0.000
Pd3 Pd 0.500 0.500 0.500

---

# TmAg2Pd, optimized geometry, DFT GGA-PBE
# density = 10.6 Mg/m³
# ΔE to the lowest computed polymorph = 150.2 meV per atom
data_TmAg2Pd
_space_group_name_H-M_alt 'F m -3 m'
_space_group_IT_number 225
_space_group_name_Hall '-F 4 2 3'
_cell_length_a 6.757
_cell_length_b 6.757
_cell_length_c 6.757
_cell_angle_alpha 90.00
_cell_angle_beta 90.00
_cell_angle_gamma 90.00
loop_
_atom_site_label
_atom_site_type_symbol
_atom_site_fract_x
_atom_site_fract_y
_atom_site_fract_z
Tm1 Tm 0.000 0.000 0.000
Ag1 Ag 0.250 0.250 0.250
Pd1 Pd 0.000 0.000 0.500

---

# YTmAgPd, optimized geometry, DFT GGA-PBE
# density = 8.8 Mg/m³
# ΔE to the lowest computed polymorph = 15.2 meV per atom
data_YTmAgPd
_space_group_name_H-M_alt 'F -4 3 m'
_space_group_IT_number 216
_space_group_name_Hall 'F -4 2 3'
_cell_length_a 7.102
_cell_length_b 7.102
_cell_length_c 7.102
_cell_angle_alpha 90.00
_cell_angle_beta 90.00
_cell_angle_gamma 90.00
loop_
_atom_site_label
_atom_site_type_symbol
_atom_site_fract_x
_atom_site_fract_y
_atom_site_fract_z
Y1 Y 0.000 0.000 0.000
Tm1 Tm 0.000 0.000 0.500
Ag1 Ag 0.250 0.250 0.250
Pd1 Pd 0.250 0.250 0.750

---

# YTmAgPd, optimized geometry, DFT GGA-PBE
# density = 8.7 Mg/m³
# ΔE to the lowest computed polymorph = 0.0 meV per atom
data_YTmAgPd
_space_group_name_H-M_alt 'P 4 m m'
_space_group_IT_number 99
_cell_length_a 3.540
_cell_length_b 3.540
_cell_length_c 7.173
_cell_angle_alpha 90.00
_cell_angle_beta 90.00
_cell_angle_gamma 90.00
loop_
_space_group_symop_operation_xyz
'x,y,z'
'-y,x,z'
'-x,-y,z'
'y,-x,z'
'-x,y,z'
'y,x,z'
'x,-y,z'
'-y,-x,z'
loop_
_atom_site_label
_atom_site_type_symbol
_atom_site_fract_x
_atom_site_fract_y
_atom_site_fract_z
Y1 Y 0.000 0.000 0.000
Tm1 Tm 0.000 0.000 0.520
Ag1 Ag 0.500 0.500 0.268
Pd1 Pd 0.500 0.500 0.749

---

# TmZrAgPd, optimized geometry, DFT GGA-PBE
# density = 9.5 Mg/m³
data_TmZrAgPd
_space_group_name_H-M_alt 'F -4 3 m'
_space_group_IT_number 216
_space_group_name_Hall 'F -4 2 3'
_cell_length_a 6.920
_cell_length_b 6.920
_cell_length_c 6.920
_cell_angle_alpha 90.00
_cell_angle_beta 90.00
_cell_angle_gamma 90.00
loop_
_atom_site_label
_atom_site_type_symbol
_atom_site_fract_x
_atom_site_fract_y
_atom_site_fract_z
Tm1 Tm 0.000 0.000 0.000
Zr1 Zr 0.000 0.000 0.500
Ag1 Ag 0.250 0.250 0.750
Pd1 Pd 0.250 0.250 0.250

---

# UAgPd4, optimized geometry, DFT GGA-PBE
# density = 12.0 Mg/m³
data_UAgPd4
_space_group_name_H-M_alt 'F -4 3 m'
_space_group_IT_number 216
_space_group_name_Hall 'F -4 2 3'
_cell_length_a 7.534
_cell_length_b 7.534
_cell_length_c 7.534
_cell_angle_alpha 90.00
_cell_angle_beta 90.00
_cell_angle_gamma 90.00
loop_
_atom_site_label
_atom_site_type_symbol
_atom_site_fract_x
_atom_site_fract_y
_atom_site_fract_z
U1 U 0.000 0.000 0.000
Ag1 Ag 0.250 0.250 0.750
Pd1 Pd 0.125 0.125 0.375

---

# UAg2Pd8, optimized geometry, DFT GGA-PBE
# density = 11.9 Mg/m³
data_UAg2Pd8
_space_group_name_H-M_alt 'C 1 2/m 1'
_space_group_IT_number 12
_cell_length_a 14.396
_cell_length_b 4.171
_cell_length_c 6.287
_cell_angle_alpha 90.00
_cell_angle_beta 105.12
_cell_angle_gamma 90.00
loop_
_space_group_symop_operation_xyz
'x,y,z'
'-x,-y,-z'
'-x,y,-z'
'x,-y,z'
'x+1/2,y+1/2,z'
'-x+1/2,-y+1/2,-z'
'-x+1/2,y+1/2,-z'
'x+1/2,-y+1/2,z'
loop_
_atom_site_label
_atom_site_type_symbol
_atom_site_fract_x
_atom_site_fract_y
_atom_site_fract_z
U1 U 0.000 0.000 0.000
Ag1 Ag 0.226 0.500 0.637
Pd1 Pd 0.044 0.500 0.728
Pd2 Pd 0.088 0.000 0.443
Pd3 Pd 0.135 0.500 0.177
Pd4 Pd 0.178 0.000 0.911

---

| no. | ΔE_f (meV/atom) | total energy (eV per atom) |
| --- | --- | --- |
| 1 | -305 | -4.822 |
| 2 | -132 | -4.834 |
| 3 | -483 | -5.060 |
| 4 | -294 | -4.485 |
| 5 | -442 | -4.299 |
| 6 | -550 | -5.399 |
| 7 | -742 | -5.628 |
| 8 | -502 | -4.344 |
| 9 | -471 | -4.989 |
| 10 | -395 | -4.236 |
| 11 | -655 | -5.397 |
| 12 | -633 | -4.805 |
| 13 | -641 | -4.888 |
| 14 | -444 | -5.254 |
| 15 | -352 | -4.194 |
| 16 | -606 | -5.351 |
| 17 | -622 | -5.366 |
| 18 | -404 | -5.670 |
| 19 | -286 | -6.105 |
| 20 | -299 | -5.621 |